Entry 1:
This record from Alexandria describes crystalline GdPuAlIn at its relaxed geometry. The functional is PBE.

Structure (extended XYZ):
```
4
Lattice="0.000 3.715 3.715 3.715 0.000 3.715 3.715 3.715 0.000" Properties=species:S:1:pos:R:3 pbc="T T T"
Gd 0.000 0.000 0.000
Pu 3.715 3.715 3.715
Al 5.572 5.572 5.572
In 1.857 1.857 1.857
```

Output
Calculated formation energy ... -0.230 eV per atom
Space-group type ... F-43m
Electronic total energy ... -8.954 eV per atom

---

Entry 2:
This record from Alexandria describes crystalline Te2PAu at its relaxed geometry. The functional is PBE.

Structure (extended XYZ):
```
4
Lattice="6.552 -1.967 0.000 6.552 1.967 0.000 -0.006 0.000 4.121" Properties=species:S:1:pos:R:3 pbc="T T T"
Te 0.000 0.000 0.000
Te 3.275 0.000 1.158
P 10.524 0.000 3.734
Au 6.593 0.000 2.078
```

Output
Space-group type ... Cm
Electronic total energy ... -3.599 eV per atom
Formation energy (no corrections) ... 0.144 eV/atom

---

Entry 3:
This record from Alexandria describes crystalline LiTbP2Pt7 at its relaxed geometry. The functional is PBE.

Structure (extended XYZ):
```
11
Lattice="-2.043 2.043 12.541 2.043 -2.043 12.541 2.043 2.043 -12.541" Properties=species:S:1:pos:R:3 pbc="T T T"
Li 0.000 0.000 0.000
Tb 2.043 0.000 6.271
P 0.000 2.043 2.875
P 0.000 2.043 9.666
Pt 0.000 0.000 4.107
Pt 0.000 0.000 8.421
Pt 0.000 2.043 0.706
Pt 0.000 0.000 16.662
Pt 0.000 2.043 6.271
Pt 0.000 0.000 20.976
Pt 0.000 2.043 11.835
```

Output
Calculated formation energy ... -0.414 eV per atom
Space-group type ... I-4m2
Electronic total energy ... -5.837 eV per atom

---

Entry 4:
This record from Alexandria describes crystalline Na3Pa2TiAs6 at its relaxed geometry. The functional is PBE.

Structure (extended XYZ):
```
12
Lattice="3.542 -6.150 0.000 3.542 6.150 0.000 -2.395 0.000 6.875" Properties=species:S:1:pos:R:3 pbc="T T T"
Na 0.000 0.000 0.000
Na 3.542 2.111 0.000
Na 3.542 -2.111 0.000
Pa 2.345 4.109 3.437
Pa 2.345 -4.109 3.437
Ti 2.345 0.000 3.437
As 1.236 1.943 1.987
As 0.116 0.000 4.902
As 1.236 -1.943 1.987
As 3.453 1.943 4.888
As 4.574 0.000 1.973
As 3.453 -1.943 4.888
```

Output
Calculated formation energy ... -0.649 eV per atom
Space-group type ... C2/m
Electronic total energy ... -5.544 eV per atom

---

Entry 5:
This record from Alexandria describes crystalline BeOs2O at its relaxed geometry. The functional is PBE.

Structure (extended XYZ):
```
8
Lattice="-2.535 2.535 4.234 2.535 -2.535 4.234 2.535 2.535 -4.234" Properties=species:S:1:pos:R:3 pbc="T T T"
Be 0.000 0.000 0.000
Be 0.000 2.535 2.117
Os 1.267 -1.091 3.175
Os 1.444 1.267 1.058
Os 1.267 3.626 -1.058
Os 1.091 1.267 5.292
O 2.535 0.000 2.117
O 0.000 0.000 4.234
```

Output
Space-group type ... I-42d
Relative energy among the computed polymorphs ... 0.287 eV/atom
Electronic total energy ... -6.865 eV per atom
Formation energy (no corrections) ... 0.921 eV/atom

---

Entry 6:
This record from Alexandria describes crystalline ScHg2Te2 at its relaxed geometry. The functional is PBE.

Structure (extended XYZ):
```
10
Lattice="7.559 0.000 0.000 0.000 7.559 0.000 0.000 0.000 5.188" Properties=species:S:1:pos:R:3 pbc="T T T"
Sc 0.000 0.000 0.000
Sc 3.779 3.779 0.000
Hg 1.200 2.580 2.594
Hg 2.580 6.359 2.594
Hg 4.979 1.200 2.594
Hg 6.359 4.979 2.594
Te 1.191 4.971 0.000
Te 2.588 1.191 0.000
Te 4.971 6.368 0.000
Te 6.368 2.588 0.000
```

Output
Space-group type ... P4/mbm
Relative energy among the computed polymorphs ... 0.000 eV/atom
Electronic total energy ... -2.889 eV per atom
Formation energy (no corrections) ... -0.246 eV/atom

---

Entry 7:
This record from Alexandria describes crystalline Mg2HgS at its relaxed geometry. The functional is PBE.

Structure (extended XYZ):
```
4
Lattice="0.000 3.469 3.469 3.469 0.000 3.469 3.469 3.469 0.000" Properties=species:S:1:pos:R:3 pbc="T T T"
Mg 1.734 1.734 1.734
Mg 5.203 5.203 5.203
Hg 0.000 0.000 0.000
S 3.469 3.469 3.469
```

Output
Space-group type ... Fm-3m
Relative energy among the computed polymorphs ... 0.417 eV/atom
Electronic total energy ... -2.161 eV per atom
Formation energy (no corrections) ... -0.257 eV/atom

---

Entry 8:
This record from Alexandria describes crystalline TlSbH2 at its relaxed geometry. The functional is PBE.

Structure (extended XYZ):
```
8
Lattice="-2.495 2.495 6.205 2.495 -2.495 6.205 2.495 2.495 -6.205" Properties=species:S:1:pos:R:3 pbc="T T T"
Tl 0.000 0.000 0.000
Tl 0.000 2.495 3.102
Sb 2.495 0.000 3.102
Sb 0.000 0.000 6.205
H 1.248 -0.296 4.654
H 2.199 1.248 1.551
H 1.248 2.791 -1.551
H 0.296 1.248 7.756
```

Output
Space-group type ... I-42d
Relative energy among the computed polymorphs ... 0.164 eV/atom
Electronic total energy ... -2.911 eV per atom